Entry 1:
A geometry-optimized ScAs3N structure, computed with PBE-GGA.

The space group is Pm-3m (No. 221) and the conventional cell measures 5.108, 5.108 and 5.108 Å, with angles of 90.00, 90.00 and 90.00 degrees. The distinct sites, in fractional coordinates, are Sc at (0.000, 0.000, 0.000), As at (0.000, 0.000, 0.500) and N at (0.500, 0.500, 0.500).

The calculation puts the energy above the most stable polymorph in this dataset at 1.057 eV/atom. For the formation energy from raw total energies, the calculation gives 1.25 eV/atom.

Entry 2:
A geometry-optimized LiWS2 structure, computed with PBE-GGA.

The space group is I-42d (No. 122) and the conventional cell measures 5.585, 5.585 and 10.678 Å, with angles of 90.00, 90.00 and 90.00 degrees. The distinct sites, in fractional coordinates, are Li at (0.000, 0.000, 0.000), W at (0.000, 0.000, 0.500) and S at (0.223, 0.250, 0.625).

For the formation energy from raw total energies, the calculation gives -0.39 eV/atom.

Entry 3:
A geometry-optimized Al3SeBr structure, computed with PBE-GGA.

The space group is Pm-3m (No. 221) and the conventional cell measures 5.319, 5.319 and 5.319 Å, with angles of 90.00, 90.00 and 90.00 degrees. The distinct sites, in fractional coordinates, are Al at (0.000, 0.000, 0.500), Se at (0.000, 0.000, 0.000) and Br at (0.500, 0.500, 0.500).

The calculation puts the energy above the most stable polymorph in this dataset at 0.000 eV/atom. For the formation energy from raw total energies, the calculation gives 0.47 eV/atom.

Entry 4:
A geometry-optimized LaTb2Au2 structure, computed with PBE-GGA.

The space group is P4/mbm (No. 127) and the conventional cell measures 8.333, 8.333 and 3.848 Å, with angles of 90.00, 90.00 and 90.00 degrees. The distinct sites, in fractional coordinates, are La at (0.000, 0.000, 0.000), Tb at (0.161, 0.339, 0.500) and Au at (0.129, 0.629, 0.000).

The total energy comes out at -4.811 eV per atom.

Entry 5:
A geometry-optimized Ho3TmSc2Se6 structure, computed with PBE-GGA.

The space group is C2/m (No. 12) and the conventional cell measures 6.878, 11.985 and 6.936 Å, with angles of 90.00, 109.41 and 90.00 degrees. The distinct sites, in fractional coordinates, are Ho at (0.000, 0.000, 0.000), Ho at (0.000, 0.336, 0.000), Tm at (0.000, 0.500, 0.500), Sc at (0.000, 0.167, 0.500), Se at (0.239, 0.000, 0.737) and Se at (0.250, 0.169, 0.259).

For the formation energy from raw total energies, the calculation gives -1.67 eV/atom.

Entry 6:
A geometry-optimized Nb2V2GaRu5 structure, computed with PBE-GGA.

The space group is P4/mbm (No. 127) and the conventional cell measures 9.978, 9.978 and 3.051 Å, with angles of 90.00, 90.00 and 90.00 degrees. The distinct sites, in fractional coordinates, are Nb at (0.178, 0.322, 0.000), V at (0.135, 0.635, 0.000), Ga at (0.000, 0.000, 0.000), Ru at (0.000, 0.500, 0.500) and Ru at (0.046, 0.798, 0.500).

The total energy comes out at -8.864 eV per atom.

Entry 7:
A geometry-optimized SrIN2O structure, computed with PBE-GGA.

The space group is P4/mmm (No. 123) and the conventional cell measures 4.127, 4.127 and 4.275 Å, with angles of 90.00, 90.00 and 90.00 degrees. The distinct sites, in fractional coordinates, are Sr at (0.000, 0.000, 0.000), I at (0.500, 0.500, 0.500), N at (0.000, 0.500, 0.500) and O at (0.500, 0.500, 0.000).

For the formation energy from raw total energies, the calculation gives 0.26 eV/atom.

Entry 8:
A geometry-optimized Ba3Sn7Au2 structure, computed with PBE-GGA.

The space group is P2/m (No. 10) and the conventional cell measures 4.894, 4.997 and 15.216 Å, with angles of 90.00, 99.21 and 90.00 degrees. The distinct sites, in fractional coordinates, are Ba at (0.000, 0.000, 0.000), Ba at (0.320, 0.500, 0.639), Sn at (0.082, 0.500, 0.169), Sn at (0.224, 0.000, 0.448), Sn at (0.415, 0.000, 0.831), Sn at (0.500, 0.500, 0.000) and Au at (0.133, 0.000, 0.265).

The total energy comes out at -3.874 eV per atom.

Entry 9:
A geometry-optimized IrPd12Pt3 structure, computed with PBE-GGA.

The space group is P4/mmm (No. 123) and the conventional cell measures 3.944, 3.944 and 15.761 Å, with angles of 90.00, 90.00 and 90.00 degrees. The distinct sites, in fractional coordinates, are Ir at (0.000, 0.000, 0.000), Pd at (0.000, 0.500, 0.122), Pd at (0.000, 0.500, 0.375), Pd at (0.500, 0.500, 0.000), Pd at (0.500, 0.500, 0.249), Pd at (0.500, 0.500, 0.500), Pt at (0.000, 0.000, 0.249) and Pt at (0.000, 0.000, 0.500).

The total energy comes out at -5.562 eV per atom.

Entry 10:
A geometry-optimized AlSiRu2 structure, computed with PBE-GGA.

The space group is Imm2 (No. 44) and the conventional cell measures 2.942, 4.010 and 9.226 Å, with angles of 90.00, 90.00 and 90.00 degrees. The distinct sites, in fractional coordinates, are Al at (0.000, 0.000, 0.000), Si at (0.000, 0.500, 0.240), Ru at (0.000, 0.000, 0.528) and Ru at (0.000, 0.500, 0.769).

The calculation puts the energy above the most stable polymorph in this dataset at 0.249 eV/atom. For the formation energy from raw total energies, the calculation gives -0.47 eV/atom.

Entry 11:
A geometry-optimized Sb2RhPb structure, computed with PBE-GGA.

The space group is I-42d (No. 122) and the conventional cell measures 6.315, 6.315 and 13.099 Å, with angles of 90.00, 90.00 and 90.00 degrees. The distinct sites, in fractional coordinates, are Sb at (0.181, 0.250, 0.125), Rh at (0.000, 0.000, 0.000) and Pb at (0.000, 0.000, 0.500).

For the formation energy from raw total energies, the calculation gives 0.03 eV/atom.

Entry 12:
A geometry-optimized CaP2Os structure, computed with PBE-GGA.

The space group is I-42d (No. 122) and the conventional cell measures 5.900, 5.900 and 11.262 Å, with angles of 90.00, 90.00 and 90.00 degrees. The distinct sites, in fractional coordinates, are Ca at (0.000, 0.000, 0.000), P at (0.160, 0.250, 0.625) and Os at (0.000, 0.000, 0.500).

The calculation puts the energy above the most stable polymorph in this dataset at 0.237 eV/atom.

| no. | D(E_F) (states/eV/cell) |
| --- | --- |
| 1 | 2.0 |
| 2 | 9.6 |
| 3 | 2.2 |
| 4 | 11.2 |
| 5 | 12.3 |
| 6 | 16.4 |
| 7 | 1.5 |
| 8 | 5.0 |
| 9 | 34.1 |
| 10 | 4.9 |
| 11 | 10.7 |
| 12 | 8.5 |